1.
A relaxed LiZn2IrO6 crystal. Source: Alexandria via LeMat-Bulk, functional PBE-GGA.

It has space group P2_1/c (No. 14), with a = 5.305 Å, b = 5.130 Å, c = 9.364 Å, α = 90.00°, β = 122.13° and γ = 90.00°. The distinct sites, in fractional coordinates, are Li at (0.000, 0.000, 0.000), Zn at (0.204, 0.021, 0.729), Ir at (0.500, 0.000, 0.500), O at (0.167, 0.106, 0.276), O at (0.221, 0.659, 0.045) and O at (0.455, 0.183, 0.087).



2.
A relaxed LiZnIrO4 crystal. Source: Alexandria via LeMat-Bulk, functional PBE-GGA.

It has space group Imma (No. 74), with a = 5.988 Å, b = 6.199 Å, c = 8.781 Å, α = 90.00°, β = 90.00° and γ = 90.00°. The distinct sites, in fractional coordinates, are Li at (0.000, 0.250, 0.142), Zn at (0.250, 0.250, 0.750), Ir at (0.000, 0.000, 0.500), O at (0.000, 0.022, 0.723) and O at (0.217, 0.250, 0.495).



Short version: E_form (uncorrected) = -1.05 -1.15 eV per atom, in the order given.